# Sr2LiMgCd6

Sr2LiMgCd6 after structural relaxation (PBE, the Alexandria database).

a b c (Å): 10.3611 10.3981 10.4248
angles (deg): 90.00 90.00 90.00
Last column: nearest neighbours and their distance in Å.
Space group Fmmm (No. 69)
Symmetry-distinct sites (fractional):
Sr (0.2500, 0.2500, 0.2500) [8 per cell]  12 Cd 3.67-3.68
Li (0.0000, 0.0000, 0.0000) [4 per cell]  6 Cd 2.46-2.48
Mg (0.0000, 0.0000, 0.5000) [4 per cell]  6 Cd 2.72-2.73
Cd (0.0000, 0.0000, 0.2378) [8 per cell]  1 Li 2.48, 1 Mg 2.73
Cd (0.0000, 0.2378, 0.0000) [8 per cell]  1 Li 2.47, 1 Mg 2.73
Cd (0.2377, 0.0000, 0.0000) [8 per cell]  1 Li 2.46, 1 Mg 2.72

Summary:
- Fermi-level density of states: 3.44 states/eV/f.u.
- DFT total energy: -53.08 eV/cell
- Magnetic moment: 0.00 μB per formula unit
- DFT formation energy: -91 meV/atom
- Crystal system: orthorhombic